VASP calculation (PBE) on CsPdAuSe3 after structural relaxation.

Cell lengths 8.4492, 8.4492, 10.7739 Å; angles 90.00, 90.00, 153.17 degrees
Positions (direct):
Cs (0.2310, 0.7690, 0.7500)
Cs (0.7690, 0.2310, 0.2500)
Pd (0.5000, 0.5000, 0.0000)
Pd (0.5000, 0.5000, 0.5000)
Au (0.0848, 0.9152, 0.2500)
Au (0.9152, 0.0848, 0.7500)
Se (0.0989, 0.9011, 0.0213)
Se (0.0989, 0.9011, 0.4787)
Se (0.4624, 0.5376, 0.2500)
Se (0.5376, 0.4624, 0.7500)
Se (0.9011, 0.0989, 0.5213)
Se (0.9011, 0.0989, 0.9787)

The volume comes out at 28.93 Å³ per atom. As for the raw total energy: -3.64 eV per atom.